## LaVI2O (PBE+U)

Data for LaVI2O after structural relaxation.

- distance to the lowest polymorph of the same formula (kJ per mole of atoms) = 44.5

```
LaVI2O
1.0
6.5046 0.0000 0.0000
0.0000 6.5046 0.0000
0.0000 0.0000 4.2957
La V I O
1 1 2 1
Direct
0.0000 0.0000 0.0000
0.5000 0.5000 0.5000
0.0000 0.5000 0.0000
0.5000 0.0000 0.0000
0.0000 0.0000 0.5000
```